# 1
Density functional theory data (PBE) for a relaxed structure of LiCo2ReAg.

```
data_LiCo2ReAg
_chemical_formula_sum 'Li1 Co2 Re1 Ag1'
_cell_length_a 4.400
_cell_length_b 5.222
_cell_length_c 4.400
_cell_angle_alpha 90.00
_cell_angle_beta 90.00
_cell_angle_gamma 90.00
_symmetry_space_group_name_H-M 'P 1'
_symmetry_Int_Tables_number 1
_symmetry_space_group_name_Hall 'P 1'
loop_
_atom_site_label
_atom_site_type_symbol
_atom_site_fract_x
_atom_site_fract_y
_atom_site_fract_z
Re1 Re 0.000 0.000 0.000
Co1 Co 0.000 0.000 0.500
Co2 Co 0.500 0.000 0.000
Ag1 Ag 0.000 0.500 0.000
Li1 Li 0.500 0.500 0.500
```

Results
Space group: P4/mmm (123)
Energy of formation (eV per atom): 1.23
Uncorrected energy (eV/atom): -5.0541
V (Å³ per cell): 101



# 2
Density functional theory data (PBE) for a relaxed structure of LiCo2AgW.

```
data_LiCo2AgW
_chemical_formula_sum 'Li1 Co2 Ag1 W1'
_cell_length_a 4.009
_cell_length_b 4.340
_cell_length_c 4.009
_cell_angle_alpha 90.00
_cell_angle_beta 90.00
_cell_angle_gamma 90.00
_symmetry_space_group_name_H-M 'P 1'
_symmetry_Int_Tables_number 1
_symmetry_space_group_name_Hall 'P 1'
loop_
_atom_site_label
_atom_site_type_symbol
_atom_site_fract_x
_atom_site_fract_y
_atom_site_fract_z
Co1 Co 0.000 0.000 0.500
Co2 Co 0.500 0.000 0.000
Ag1 Ag 0.500 0.500 0.500
W1 W 0.000 0.500 0.000
Li1 Li 0.000 0.000 0.000
```

Results
Space group: P4/mmm (123)
Energy of formation (eV per atom): 1.38
Uncorrected energy (eV/atom): -5.0090
V (Å³ per cell): 70



# 3
Density functional theory data (PBE) for a relaxed structure of LiY2CoAg.

```
data_LiY2CoAg
_chemical_formula_sum 'Li1 Y2 Co1 Ag1'
_cell_length_a 5.244
_cell_length_b 3.914
_cell_length_c 5.244
_cell_angle_alpha 90.00
_cell_angle_beta 90.00
_cell_angle_gamma 90.00
_symmetry_space_group_name_H-M 'P 1'
_symmetry_Int_Tables_number 1
_symmetry_space_group_name_Hall 'P 1'
loop_
_atom_site_label
_atom_site_type_symbol
_atom_site_fract_x
_atom_site_fract_y
_atom_site_fract_z
Y1 Y 0.000 0.000 0.500
Y2 Y 0.500 0.000 0.000
Co1 Co 0.000 0.500 0.000
Ag1 Ag 0.500 0.500 0.500
Li1 Li 0.000 0.000 0.000
```

Results
Space group: P4/mmm (123)
Energy of formation (eV per atom): 0.44
Uncorrected energy (eV/atom): -4.5152
V (Å³ per cell): 108



# 4
Density functional theory data (PBE) for a relaxed structure of LuCo4Ag.

```
data_LuCo4Ag
_chemical_formula_sum 'Lu1 Co4 Ag1'
_cell_length_a 4.930
_cell_length_b 4.930
_cell_length_c 4.930
_cell_angle_alpha 60.00
_cell_angle_beta 60.00
_cell_angle_gamma 60.00
_symmetry_space_group_name_H-M 'P 1'
_symmetry_Int_Tables_number 1
_symmetry_space_group_name_Hall 'P 1'
loop_
_atom_site_label
_atom_site_type_symbol
_atom_site_fract_x
_atom_site_fract_y
_atom_site_fract_z
Lu1 Lu 0.000 0.000 0.000
Co1 Co 0.625 0.625 0.126
Co2 Co 0.625 0.126 0.625
Co3 Co 0.625 0.625 0.625
Co4 Co 0.126 0.625 0.625
Ag1 Ag 0.250 0.250 0.250
```

Results
Space group: F-43m (216)
Energy of formation (eV per atom): -0.09
Uncorrected energy (eV/atom): -6.0594
V (Å³ per cell): 85



# 5
Density functional theory data (PBE) for a relaxed structure of Lu2CoAg.

```
data_Lu2CoAg
_chemical_formula_sum 'Lu2 Co1 Ag1'
_cell_length_a 4.831
_cell_length_b 4.831
_cell_length_c 4.831
_cell_angle_alpha 60.00
_cell_angle_beta 60.00
_cell_angle_gamma 60.00
_symmetry_space_group_name_H-M 'P 1'
_symmetry_Int_Tables_number 1
_symmetry_space_group_name_Hall 'P 1'
loop_
_atom_site_label
_atom_site_type_symbol
_atom_site_fract_x
_atom_site_fract_y
_atom_site_fract_z
Lu1 Lu 0.250 0.250 0.250
Lu2 Lu 0.750 0.750 0.750
Co1 Co 0.000 0.000 0.000
Ag1 Ag 0.500 0.500 0.500
```

Results
Energy above the most stable polymorph in this dataset (eV/f.u.): 0.29
Space group: Fm-3m (225)
Energy of formation (eV per atom): -0.24
Uncorrected energy (eV/atom): -4.9893
V (Å³ per cell): 80



# 6
Density functional theory data (PBE) for a relaxed structure of Lu2CoAg.

```
data_Lu2CoAg
_chemical_formula_sum 'Lu2 Co1 Ag1'
_cell_length_a 3.300
_cell_length_b 3.300
_cell_length_c 7.362
_cell_angle_alpha 90.00
_cell_angle_beta 90.00
_cell_angle_gamma 90.00
_symmetry_space_group_name_H-M 'P 1'
_symmetry_Int_Tables_number 1
_symmetry_space_group_name_Hall 'P 1'
loop_
_atom_site_label
_atom_site_type_symbol
_atom_site_fract_x
_atom_site_fract_y
_atom_site_fract_z
Lu1 Lu 0.000 0.000 0.782
Lu2 Lu 0.000 0.000 0.218
Co1 Co 0.500 0.500 0.000
Ag1 Ag 0.500 0.500 0.500
```

Results
Energy above the most stable polymorph in this dataset (eV/f.u.): 0.00
Space group: P4/mmm (123)
Energy of formation (eV per atom): -0.31
Uncorrected energy (eV/atom): -5.0612
V (Å³ per cell): 80



# 7
Density functional theory data (PBE) for a relaxed structure of Lu2CoAg.

```
data_Lu2CoAg
_chemical_formula_sum 'Lu2 Co1 Ag1'
_cell_length_a 3.529
_cell_length_b 3.529
_cell_length_c 9.265
_cell_angle_alpha 79.02
_cell_angle_beta 79.02
_cell_angle_gamma 60.00
_symmetry_space_group_name_H-M 'P 1'
_symmetry_Int_Tables_number 1
_symmetry_space_group_name_Hall 'P 1'
loop_
_atom_site_label
_atom_site_type_symbol
_atom_site_fract_x
_atom_site_fract_y
_atom_site_fract_z
Lu1 Lu 0.109 0.109 0.673
Lu2 Lu 0.891 0.891 0.327
Co1 Co 0.500 0.500 0.500
Ag1 Ag 0.000 0.000 0.000
```

Results
Energy above the most stable polymorph in this dataset (eV/f.u.): 1.81
Space group: R-3m (166)
Energy of formation (eV per atom): 0.14
Uncorrected energy (eV/atom): -4.6091
V (Å³ per cell): 97



# 8
Density functional theory data (PBE) for a relaxed structure of PmLuCoAg.

```
data_PmLuCoAg
_chemical_formula_sum 'Pm1 Lu1 Co1 Ag1'
_cell_length_a 4.962
_cell_length_b 4.962
_cell_length_c 4.962
_cell_angle_alpha 60.00
_cell_angle_beta 60.00
_cell_angle_gamma 60.00
_symmetry_space_group_name_H-M 'P 1'
_symmetry_Int_Tables_number 1
_symmetry_space_group_name_Hall 'P 1'
loop_
_atom_site_label
_atom_site_type_symbol
_atom_site_fract_x
_atom_site_fract_y
_atom_site_fract_z
Lu1 Lu 0.500 0.500 0.500
Co1 Co 0.250 0.250 0.250
Ag1 Ag 0.750 0.750 0.750
Pm1 Pm 0.000 0.000 0.000
```

Results
Space group: F-43m (216)
Energy of formation (eV per atom): -0.15
Uncorrected energy (eV/atom): -4.9544
V (Å³ per cell): 86



# 9
Density functional theory data (PBE) for a relaxed structure of PrLuCoAg.

```
data_PrLuCoAg
_chemical_formula_sum 'Pr1 Lu1 Co1 Ag1'
_cell_length_a 5.005
_cell_length_b 5.005
_cell_length_c 5.005
_cell_angle_alpha 60.00
_cell_angle_beta 60.00
_cell_angle_gamma 60.00
_symmetry_space_group_name_H-M 'P 1'
_symmetry_Int_Tables_number 1
_symmetry_space_group_name_Hall 'P 1'
loop_
_atom_site_label
_atom_site_type_symbol
_atom_site_fract_x
_atom_site_fract_y
_atom_site_fract_z
Pr1 Pr 0.500 0.500 0.500
Lu1 Lu 0.000 0.000 0.000
Co1 Co 0.750 0.750 0.750
Ag1 Ag 0.250 0.250 0.250
```

Results
Space group: F-43m (216)
Energy of formation (eV per atom): -0.11
Uncorrected energy (eV/atom): -4.9256
V (Å³ per cell): 89



# 10
Density functional theory data (PBE) for a relaxed structure of LuPuCoAg.

```
data_LuPuCoAg
_chemical_formula_sum 'Lu1 Pu1 Co1 Ag1'
_cell_length_a 4.913
_cell_length_b 4.913
_cell_length_c 4.913
_cell_angle_alpha 60.00
_cell_angle_beta 60.00
_cell_angle_gamma 60.00
_symmetry_space_group_name_H-M 'P 1'
_symmetry_Int_Tables_number 1
_symmetry_space_group_name_Hall 'P 1'
loop_
_atom_site_label
_atom_site_type_symbol
_atom_site_fract_x
_atom_site_fract_y
_atom_site_fract_z
Lu1 Lu 0.500 0.500 0.500
Co1 Co 0.750 0.750 0.750
Ag1 Ag 0.250 0.250 0.250
Pu1 Pu 0.000 0.000 0.000
```

Results
Space group: F-43m (216)
Energy of formation (eV per atom): 0.01
Uncorrected energy (eV/atom): -7.1875
V (Å³ per cell): 84



# 11
Density functional theory data (PBE) for a relaxed structure of LuScCoAg.

```
data_LuScCoAg
_chemical_formula_sum 'Lu1 Sc1 Co1 Ag1'
_cell_length_a 4.743
_cell_length_b 4.743
_cell_length_c 4.743
_cell_angle_alpha 60.00
_cell_angle_beta 60.00
_cell_angle_gamma 60.00
_symmetry_space_group_name_H-M 'P 1'
_symmetry_Int_Tables_number 1
_symmetry_space_group_name_Hall 'P 1'
loop_
_atom_site_label
_atom_site_type_symbol
_atom_site_fract_x
_atom_site_fract_y
_atom_site_fract_z
Sc1 Sc 0.000 0.000 0.000
Lu1 Lu 0.500 0.500 0.500
Co1 Co 0.750 0.750 0.750
Ag1 Ag 0.250 0.250 0.250
```

Results
Space group: F-43m (216)
Energy of formation (eV per atom): -0.23
Uncorrected energy (eV/atom): -5.4340
V (Å³ per cell): 75



# 12
Density functional theory data (PBE) for a relaxed structure of LuZrCoAg.

```
data_LuZrCoAg
_chemical_formula_sum 'Lu1 Zr1 Co1 Ag1'
_cell_length_a 4.762
_cell_length_b 4.762
_cell_length_c 4.762
_cell_angle_alpha 60.00
_cell_angle_beta 60.00
_cell_angle_gamma 60.00
_symmetry_space_group_name_H-M 'P 1'
_symmetry_Int_Tables_number 1
_symmetry_space_group_name_Hall 'P 1'
loop_
_atom_site_label
_atom_site_type_symbol
_atom_site_fract_x
_atom_site_fract_y
_atom_site_fract_z
Lu1 Lu 0.500 0.500 0.500
Co1 Co 0.750 0.750 0.750
Zr1 Zr 0.000 0.000 0.000
Ag1 Ag 0.250 0.250 0.250
```

Results
Space group: F-43m (216)
Energy of formation (eV per atom): -0.13
Uncorrected energy (eV/atom): -5.8870
V (Å³ per cell): 76



# 13
Density functional theory data (PBE) for a relaxed structure of Mg2CoAg.

```
data_Mg2CoAg
_chemical_formula_sum 'Mg2 Co1 Ag1'
_cell_length_a 2.874
_cell_length_b 4.147
_cell_length_c 5.621
_cell_angle_alpha 90.00
_cell_angle_beta 90.00
_cell_angle_gamma 90.00
_symmetry_space_group_name_H-M 'P 1'
_symmetry_Int_Tables_number 1
_symmetry_space_group_name_Hall 'P 1'
loop_
_atom_site_label
_atom_site_type_symbol
_atom_site_fract_x
_atom_site_fract_y
_atom_site_fract_z
Ag1 Ag 0.000 0.000 0.496
Co1 Co 0.500 0.500 0.768
Mg1 Mg 0.000 0.000 0.965
Mg2 Mg 0.500 0.500 0.271
```

Results
Space group: Pmm2 (25)
Energy of formation (eV per atom): 0.13
Uncorrected energy (eV/atom): -3.1526
V (Å³ per cell): 67



# 14
Density functional theory data (PBE) for a relaxed structure of Mg2CoAg.

```
data_Mg2CoAg
_chemical_formula_sum 'Mg2 Co1 Ag1'
_cell_length_a 3.121
_cell_length_b 3.121
_cell_length_c 6.603
_cell_angle_alpha 90.00
_cell_angle_beta 90.00
_cell_angle_gamma 90.00
_symmetry_space_group_name_H-M 'P 1'
_symmetry_Int_Tables_number 1
_symmetry_space_group_name_Hall 'P 1'
loop_
_atom_site_label
_atom_site_type_symbol
_atom_site_fract_x
_atom_site_fract_y
_atom_site_fract_z
Mg1 Mg 0.000 0.000 0.782
Mg2 Mg 0.000 0.000 0.218
Co1 Co 0.500 0.500 0.000
Ag1 Ag 0.500 0.500 0.500
```

Results
Space group: P4/mmm (123)
Energy of formation (eV per atom): -0.01
Uncorrected energy (eV/atom): -3.2948
V (Å³ per cell): 64